Entry 1:
HfBRh2Au: optimized geometry, GGA-PBE.

Output
E_form = 992 meV/atom
energy = -29.65 eV per cell
density of states at the Fermi level = 0.686 states/eV/atom

Structure (POSCAR):
```
HfBRh2Au
1.0
4.985 0.000 0.000
0.000 3.833 0.000
0.000 0.000 4.985
Hf Au Rh B
1 1 2 1
Cartesian
2.492 1.917 2.492
0.000 0.000 0.000
2.492 0.000 0.000
0.000 0.000 2.492
0.000 1.917 0.000
```


Entry 2:
HfB2WAu: optimized geometry, GGA-PBE.

Output
E_form = 931 meV/atom
energy = -34.88 eV per cell
density of states at the Fermi level = 0.698 states/eV/atom

Structure (POSCAR):
```
HfB2WAu
1.0
-1.786 -2.732 2.521
1.393 -3.752 -3.079
3.539 -0.393 2.081
B W Au Hf
2 1 1 1
Cartesian
-0.893 -1.366 1.260
1.769 -0.197 1.040
0.000 0.000 0.000
0.697 -1.876 -1.539
1.573 -3.439 0.761
```


Entry 3:
Hf2ZnBAu: optimized geometry, GGA-PBE.

Output
E_form = 617 meV/atom
energy = -28.05 eV per cell
density of states at the Fermi level = 0.644 states/eV/atom

Structure (POSCAR):
```
Hf2ZnBAu
1.0
-3.458 -3.618 0.118
0.767 -0.848 -3.506
3.467 -3.263 1.548
Zn Hf B Au
1 2 1 1
Cartesian
0.000 0.000 0.000
-1.729 -1.809 0.059
1.734 -1.632 0.774
0.384 -0.424 -1.753
0.388 -3.865 -0.920
```


Entry 4:
HfZnBAu2: optimized geometry, GGA-PBE.

Output
E_form = 693 meV/atom
energy = -20.99 eV per cell
density of states at the Fermi level = 0.491 states/eV/atom

Structure (POSCAR):
```
HfZnBAu2
1.0
-3.136 -1.253 3.510
-0.266 -3.528 -1.497
3.712 -1.465 2.794
B Au Zn Hf
1 2 1 1
Cartesian
-0.133 -1.764 -0.749
1.856 -0.733 1.397
-1.568 -0.627 1.755
0.000 0.000 0.000
0.155 -3.123 2.403
```